A plane-wave DFT calculation with PBE was carried out for NaMg2Fe after structural relaxation.

Properties
Energy in eV per cell: -10.6
N(E_F) in states/eV/atom: 2.53
Space group: Fm-3m
Energy of formation from the pure elements in eV/atom: 0.597
E above lowest polymorph in meV per atom: 0.0

Structure (POSCAR):
```
NaMg2Fe
1.0
0.000 3.332 3.332
3.332 0.000 3.332
3.332 3.332 0.000
Fe Mg Na
1 2 1
Direct
0.500 0.500 0.500 Fe
0.250 0.250 0.250 Mg
0.750 0.750 0.750 Mg
0.000 0.000 0.000 Na
```

---

A plane-wave DFT calculation with PBE was carried out for NaMgFe3 after structural relaxation.

Properties
Energy in eV per cell: -21.0
N(E_F) in states/eV/atom: 1.16
Space group: Pm-3m
Energy of formation from the pure elements in eV/atom: 1.460
E above lowest polymorph in meV per atom: 0.0

Structure (POSCAR):
```
NaMgFe3
1.0
4.685 0.000 0.000
0.000 4.685 0.000
0.000 0.000 4.685
Na Mg Fe
1 1 3
Direct
0.500 0.500 0.500 Na
0.000 0.000 0.000 Mg
0.000 0.500 0.000 Fe
0.500 0.000 0.000 Fe
0.000 0.000 0.500 Fe
```

---

A plane-wave DFT calculation with PBE was carried out for NaMg2Fe2 after structural relaxation.

Properties
Energy in eV per cell: -39.3
N(E_F) in states/eV/atom: 0.75
Space group: P4/mbm
Energy of formation from the pure elements in eV/atom: 0.353

Structure (POSCAR):
```
NaMg2Fe2
1.0
8.008 0.000 0.000
0.000 8.008 0.000
0.000 0.000 2.825
Na Fe Mg
2 4 4
Direct
0.000 0.000 0.000 Na
0.500 0.500 0.000 Na
0.398 0.898 0.000 Fe
0.602 0.102 0.000 Fe
0.102 0.398 0.000 Fe
0.898 0.602 0.000 Fe
0.315 0.185 0.500 Mg
0.185 0.685 0.500 Mg
0.685 0.815 0.500 Mg
0.815 0.315 0.500 Mg
```

---

A plane-wave DFT calculation with PBE was carried out for NaMgFe3 after structural relaxation.

Properties
Energy in eV per cell: -20.0
N(E_F) in states/eV/atom: 0.73
Space group: Pm-3m
Energy of formation from the pure elements in eV/atom: 1.651
E above lowest polymorph in meV per atom: 190.8

Structure (POSCAR):
```
NaMgFe3
1.0
4.504 0.000 0.000
0.000 4.504 0.000
0.000 0.000 4.504
Fe Mg Na
3 1 1
Direct
0.500 0.000 0.000 Fe
0.000 0.000 0.500 Fe
0.000 0.500 0.000 Fe
0.500 0.500 0.500 Mg
0.000 0.000 0.000 Na
```

---

A plane-wave DFT calculation with PBE was carried out for NaMg2Fe after structural relaxation.

Properties
Energy in eV per cell: -20.0
N(E_F) in states/eV/atom: 1.22
Space group: I-42d
Energy of formation from the pure elements in eV/atom: 0.737
E above lowest polymorph in meV per atom: 140.0

Structure (POSCAR):
```
NaMg2Fe
1.0
4.249 0.000 0.000
0.000 4.249 0.000
2.124 2.124 10.150
Na Fe Mg
2 2 4
Direct
0.250 0.750 0.500 Na
0.500 0.500 0.000 Na
0.000 0.000 0.000 Fe
0.750 0.250 0.500 Fe
0.875 0.897 0.750 Mg
0.375 0.353 0.750 Mg
0.103 0.625 0.250 Mg
0.647 0.125 0.250 Mg
```